# FeOsO

Crystalline FeOsO at its relaxed geometry (GGA+U, Alexandria via LeMat-Bulk).

Computed properties:
DOS(E_F)   0.466 states/eV per atom
Total magnetic moment   3.74 μB/f.u.
Crystal system   monoclinic
Energy   -7.53 eV/atom

```
data_FeOsO
_cell_length_a 8.346
_cell_length_b 2.848
_cell_length_c 6.304
_cell_angle_alpha 90.00
_cell_angle_beta 93.49
_cell_angle_gamma 90.00
_space_group_name_H-M_alt 'C 1 2/m 1'
_space_group_IT_number 12
_space_group_name_Hall '-C 2y'
loop_
_atom_site_label
_atom_site_type_symbol
_atom_site_fract_x
_atom_site_fract_y
_atom_site_fract_z
Fe1 Fe 0.111 0.000 0.344
Os1 Os 0.131 0.500 0.924
O1 O 0.136 0.500 0.603
```